An optimized crystal structure of HoCd2Au3, computed with PBE-GGA.

Values from the calculation:
Total magnetization in μB/f.u.: 0.00
Volume in Å³/cell: 248.3
E_form in kJ/mol of formula units: -287.8
Density in g/cm³: 13.12

Unit cell a=4.8421 b=4.8421 c=12.2286 alpha=90.00 beta=90.00 gamma=120.00
Space group P-3m1 (No. 164)
Unique sites:
Ho 0.3333 0.6667 0.1700 x2
Cd 0.0000 0.0000 0.0000 x1
Cd 0.0000 0.0000 0.5000 x1
Cd 0.3333 0.6667 0.6658 x2
Au 0.0000 0.0000 0.2616 x2
Au 0.3333 0.6667 0.4170 x2
Au 0.3333 0.6667 0.9229 x2